(1)
A geometry-optimized KRbMnAg2 structure, computed with PBE.

Values from the calculation:
Energy   -11.7 eV for the cell shown

Lattice parameters (Å, degrees): 6.4055 6.4055 6.4634 90.00 90.00 90.00
Space group P4/mmm (No. 123)
Asymmetric unit:
1 K 0.0000 0.0000 0.0000 [1 per cell]
2 Rb 0.5000 0.5000 0.5000 [1 per cell]
3 Mn 0.5000 0.5000 0.0000 [1 per cell]
4 Ag 0.0000 0.5000 0.5000 [2 per cell]



(2)
A geometry-optimized Ti2SbBr structure, computed with PBE.

Values from the calculation:
ΔE_f (raw)   0.085 eV/atom
Distance to the lowest polymorph of the same formula   310 meV/atom
Energy   -85.0 eV for the cell shown

Lattice parameters (Å, degrees): 5.4653 5.4653 14.7710 90.00 90.00 90.00
Space group I-42d (No. 122)
Asymmetric unit:
1 Ti 0.2230 0.2500 0.1250 [8 per cell]
2 Sb 0.0000 0.0000 0.5000 [4 per cell]
3 Br 0.0000 0.0000 0.0000 [4 per cell]



(3)
A geometry-optimized NaNd4Tl5 structure, computed with PBE.

Values from the calculation:
Energy   -35.5 eV for the cell shown

Lattice parameters (Å, degrees): 3.8565 3.8565 19.8070 90.00 90.00 90.00
Space group P4/mmm (No. 123)
Asymmetric unit:
1 Na 0.0000 0.0000 0.0000 [1 per cell]
2 Nd 0.0000 0.0000 0.1955 [2 per cell]
3 Nd 0.0000 0.0000 0.3986 [2 per cell]
4 Tl 0.5000 0.5000 0.0982 [2 per cell]
5 Tl 0.5000 0.5000 0.2986 [2 per cell]
6 Tl 0.5000 0.5000 0.5000 [1 per cell]



Number 1: M_tot 0.995 μB per atom. Number 2: M_tot 0.997 μB per atom. Number 3: M_tot 0.000 μB per atom.